Entry 1:
Computed, not measured: a relaxed IrCl crystal at the PBE level of DFT.

Calculated values
* polymorph energy (0 for the lowest one): 722 meV per atom
* formation energy from raw total energies: 0.8563 eV per atom
* size of the total moment: 0.0 Bohr magnetons per cell
* symmetry: No. 51
* Fermi-level density of states: 2.0 states/eV/f.u.

Lattice parameters (Å, degrees): 5.726 2.859 4.104 90.00 90.00 90.00
Positions (direct):
Ir 0.250 0.000 0.003
Ir 0.750 0.000 0.997
Cl 0.250 0.500 0.503
Cl 0.750 0.500 0.497


Entry 2:
Computed, not measured: a relaxed CeTh2SbN5 crystal at the PBE level of DFT.

Calculated values
* formation energy from raw total energies: -0.9418 eV per atom
* size of the total moment: 0.3 Bohr magnetons per cell
* symmetry: No. 36
* Fermi-level density of states: 2.5 states/eV/f.u.

Lattice parameters (Å, degrees): 7.183 7.183 11.636 90.00 90.00 150.67
Positions (direct):
Ce 0.209 0.791 0.500
Ce 0.791 0.209 0.000
Th 0.128 0.872 0.772
Th 0.131 0.869 0.205
Th 0.869 0.131 0.705
Th 0.872 0.128 0.272
Sb 0.489 0.511 0.002
Sb 0.511 0.489 0.502
N 0.030 0.970 0.603
N 0.287 0.713 0.846
N 0.292 0.708 0.143
N 0.367 0.633 0.561
N 0.479 0.521 0.319
N 0.521 0.479 0.819
N 0.633 0.367 0.061
N 0.708 0.292 0.643
N 0.713 0.287 0.346
N 0.970 0.030 0.103


Entry 3:
Computed, not measured: a relaxed Zn2PtW crystal at the PBE level of DFT.

Calculated values
* polymorph energy (0 for the lowest one): 196 meV per atom
* ΔE_f: 0.34 eV per formula unit
* size of the total moment: 0.0 Bohr magnetons per cell
* symmetry: No. 44
* Fermi-level density of states: 3.3 states/eV/f.u.

Lattice parameters (Å, degrees): 2.793 4.626 9.360 90.00 90.00 90.00
Positions (direct):
Zn 0.000 0.000 0.000
Zn 0.000 0.500 0.251
Zn 0.500 0.000 0.751
Zn 0.500 0.500 0.500
Pt 0.000 0.500 0.743
Pt 0.500 0.000 0.243
W 0.000 0.000 0.493
W 0.500 0.500 0.993


Entry 4:
Computed, not measured: a relaxed UAg3I2F6 crystal at the PBE level of DFT.

Calculated values
* formation energy from raw total energies: -2.0412 eV per atom
* size of the total moment: 1.0 Bohr magnetons per cell
* symmetry: No. 12

Lattice parameters (Å, degrees): 8.388 8.388 5.189 96.85 96.85 54.41
Positions (direct):
U 0.000 0.000 0.000
Ag 0.000 0.500 0.000
Ag 0.500 0.000 0.000
Ag 0.500 0.500 0.500
I 0.316 0.316 0.344
I 0.684 0.684 0.656
F 0.116 0.116 0.812
F 0.138 0.745 0.754
F 0.255 0.862 0.246
F 0.745 0.138 0.754
F 0.862 0.255 0.246
F 0.884 0.884 0.188